Entry 1:
First-principles (PBE+U) data for a geometry-optimized FeSbRu2O structure, as listed in Alexandria via LeMat-Bulk.

Results
total magnetization: 2.5 μB per cell

Geometry as POSCAR:
```
FeSbRu2O
1.0
4.371 0.000 0.000
0.000 4.371 0.000
0.000 0.000 4.745
Fe Sb Ru O
1 1 2 1
Cartesian
0.000 0.000 0.000
0.000 0.000 2.373
0.000 2.185 0.000
2.185 0.000 0.000
2.185 2.185 2.373
```

---

Entry 2:
First-principles (PBE+U) data for a geometry-optimized FeSnRuO6 structure, as listed in Alexandria via LeMat-Bulk.

Results
total magnetization: 13.3 μB per cell

Geometry as POSCAR:
```
FeSnRuO6
1.0
4.693 0.000 0.000
0.000 4.693 0.000
0.000 0.000 9.449
Fe Sn Ru O
2 2 2 12
Cartesian
0.000 0.000 0.000
2.347 2.347 4.725
0.000 0.000 3.155
2.347 2.347 7.880
0.000 0.000 6.307
2.347 2.347 1.583
0.881 0.881 7.861
0.916 0.916 4.815
0.963 0.963 1.550
1.383 3.310 6.275
1.431 3.262 0.091
1.466 3.227 3.137
3.227 1.466 3.137
3.262 1.431 0.091
3.310 1.383 6.275
3.730 3.730 1.550
3.777 3.777 4.815
3.813 3.813 7.861
```

---

Entry 3:
First-principles (PBE+U) data for a geometry-optimized Sr6Fe2Ru2O11 structure, as listed in Alexandria via LeMat-Bulk.

Results
total magnetization: 14.0 μB per cell

Geometry as POSCAR:
```
Sr6Fe2Ru2O11
1.0
2.750 -10.329 0.000
2.750 10.329 0.000
-0.355 0.000 5.499
Sr Fe Ru O
6 2 2 11
Cartesian
1.247 3.918 1.385
1.213 0.000 1.441
1.251 -3.733 1.407
3.898 3.918 4.115
3.932 0.000 4.059
3.894 -3.733 4.092
1.118 -1.970 4.134
4.028 -1.970 1.365
1.173 2.062 4.179
3.972 2.062 1.320
1.134 4.068 4.062
2.573 8.515 2.750
2.750 8.414 0.000
1.261 0.102 4.329
2.573 2.010 2.750
1.240 -3.964 4.253
4.011 4.068 1.438
2.573 -1.887 2.750
3.884 0.102 1.170
2.750 -8.219 0.000
3.905 -3.964 1.246
```

---

Entry 4:
First-principles (PBE+U) data for a geometry-optimized Sr4FeRuO8 structure, as listed in Alexandria via LeMat-Bulk.

Results
total magnetization: 7.9 μB per cell

Geometry as POSCAR:
```
Sr4FeRuO8
1.0
2.801 -6.329 0.000
2.801 6.329 0.000
0.000 0.000 5.603
Sr Fe Ru O
4 1 1 8
Cartesian
2.801 4.508 0.000
2.801 1.843 2.802
2.801 -1.843 2.802
2.801 -4.508 0.000
0.000 0.000 2.802
2.801 0.000 0.000
2.801 4.293 2.802
1.416 0.000 1.377
1.416 0.000 4.227
2.801 2.026 0.000
2.801 -2.026 0.000
4.186 0.000 1.377
4.186 0.000 4.227
2.801 -4.293 2.802
```

---

Entry 5:
First-principles (PBE+U) data for a geometry-optimized Sr3FeRuO7 structure, as listed in Alexandria via LeMat-Bulk.

Results
total magnetization: 4.8 μB per cell

Geometry as POSCAR:
```
Sr3FeRuO7
1.0
-1.942 1.942 10.646
1.942 -1.942 10.646
1.942 1.942 -10.646
Sr Fe Ru O
3 1 1 7
Cartesian
0.000 0.000 0.000
0.000 0.000 3.680
0.000 0.000 7.946
0.000 0.000 12.366
0.000 0.000 16.639
1.942 0.000 1.882
1.942 0.000 6.038
0.000 0.000 10.359
0.000 1.942 1.882
0.000 0.000 14.666
0.000 1.942 6.038
0.000 0.000 18.736
```

---

Entry 6:
First-principles (PBE+U) data for a geometry-optimized SrFeRuO6 structure, as listed in Alexandria via LeMat-Bulk.

Results
total magnetization: 4.0 μB per cell

Geometry as POSCAR:
```
SrFeRuO6
1.0
5.235 0.000 0.000
-2.618 4.534 0.000
0.000 0.000 5.362
Sr Fe Ru O
1 1 1 6
Cartesian
0.000 0.000 0.000
0.000 3.023 2.681
2.618 1.511 2.681
1.981 0.067 3.756
1.049 1.682 1.606
3.254 0.067 1.606
1.685 2.785 3.756
4.187 1.682 3.756
3.550 2.785 1.606
```

---

Entry 7:
First-principles (PBE+U) data for a geometry-optimized SrFe2Ru2O7 structure, as listed in Alexandria via LeMat-Bulk.

Results
total magnetization: 10.1 μB per cell

Geometry as POSCAR:
```
SrFe2Ru2O7
1.0
9.091 -2.157 0.000
9.091 2.157 0.000
-0.794 0.000 3.730
Sr Fe Ru O
1 2 2 7
Cartesian
0.000 0.000 0.000
3.509 0.000 2.652
13.908 0.000 0.952
6.791 0.000 1.456
10.615 0.000 2.266
1.496 0.000 2.306
4.756 0.000 1.021
6.376 0.000 3.319
8.699 0.000 1.869
11.035 0.000 0.409
12.680 0.000 2.689
15.911 0.000 1.482
```

---

Entry 8:
First-principles (PBE+U) data for a geometry-optimized TiFeRuO6 structure, as listed in Alexandria via LeMat-Bulk.

Results
total magnetization: 4.0 μB per cell

Geometry as POSCAR:
```
TiFeRuO6
1.0
4.999 0.000 0.000
-2.499 4.329 0.000
0.000 0.000 8.921
Ti Fe Ru O
2 2 2 12
Cartesian
0.000 2.886 2.230
2.499 1.443 6.691
0.000 0.000 0.000
0.000 0.000 4.460
0.000 2.886 6.691
2.499 1.443 2.230
-0.847 1.471 1.154
-1.649 2.860 3.307
0.847 1.471 3.307
-0.802 4.327 1.154
1.697 0.002 5.614
0.851 1.469 7.767
1.649 2.860 1.154
0.802 4.327 3.307
3.301 0.002 7.767
1.653 2.858 5.614
4.148 1.469 5.614
3.346 2.858 7.767
```

---

no.,total energy (eV per formula unit)
1,-23.1
2,-59.7
3,-136.5
4,-92.1
5,-79.3
6,-59.1
7,-82.1
8,-67.8